Material: AcVAgO5
Method: DFT, PBE+U
State: optimized geometry

It has space group C2/c (No. 15), with a = 6.6736 Å, b = 10.6152 Å, c = 8.8380 Å, α = 90.00°, β = 110.79° and γ = 90.00°. The inequivalent atoms are Ac at (0.0000, 0.0000, 0.0000), V at (0.0000, 0.2960, 0.2500), Ag at (0.0000, 0.2955, 0.7500), O at (0.0000, 0.0948, 0.7500), O at (0.1451, 0.3890, 0.4083) and O at (0.1645, 0.1903, 0.1836).

Its electronic total energy is -216.7 eV per cell. The total magnetic moment is 0.128 μB per atom.